No. 1
A plane-wave DFT calculation with GGA-PBE was carried out for LaCuPd4 after structural relaxation.

Properties
Symmetry   Pmma
Excess energy over the best structure of this formula in the dataset   0 meV/atom
Calculated formation energy   -484 meV/atom

Lattice parameters (Å, degrees): 7.532 4.126 6.952 90.00 90.00 90.00
Fractional coordinates of all 12 atoms:
La  0.250  0.000  0.149
La  0.750  0.000  0.851
Cu  0.250  0.000  0.733
Cu  0.750  0.000  0.267
Pd  0.000  0.000  0.500
Pd  0.052  0.500  0.807
Pd  0.250  0.500  0.463
Pd  0.448  0.500  0.807
Pd  0.500  0.000  0.500
Pd  0.552  0.500  0.193
Pd  0.750  0.500  0.537
Pd  0.948  0.500  0.193

***

No. 2
A plane-wave DFT calculation with GGA-PBE was carried out for La2Cu3Pd4 after structural relaxation.

Properties
Symmetry   Cmce
Calculated formation energy   -537 meV/atom

Lattice parameters (Å, degrees): 8.163 8.163 7.783 90.00 90.00 140.26
Fractional coordinates of all 18 atoms:
La  0.114  0.886  0.920
La  0.386  0.614  0.420
La  0.614  0.386  0.580
La  0.886  0.114  0.080
Cu  0.000  0.000  0.500
Cu  0.017  0.483  0.750
Cu  0.483  0.017  0.250
Cu  0.500  0.500  0.000
Cu  0.517  0.983  0.750
Cu  0.983  0.517  0.250
Pd  0.174  0.826  0.516
Pd  0.188  0.312  0.750
Pd  0.312  0.188  0.250
Pd  0.326  0.674  0.016
Pd  0.674  0.326  0.984
Pd  0.688  0.812  0.750
Pd  0.812  0.688  0.250
Pd  0.826  0.174  0.484

***

No. 3
A plane-wave DFT calculation with GGA-PBE was carried out for LaPmCuPd after structural relaxation.

Properties
Symmetry   F-43m
Excess energy over the best structure of this formula in the dataset   58 meV/atom
Calculated formation energy   -445 meV/atom

Lattice parameters (Å, degrees): 5.141 5.141 5.141 60.00 60.00 60.00
Fractional coordinates of all 4 atoms:
La  0.000  0.000  0.000
Pm  0.500  0.500  0.500
Cu  0.250  0.250  0.250
Pd  0.750  0.750  0.750